Here is a relaxed structure of Co2GeRuPt from Alexandria via LeMat-Bulk. Energies are from GGA-PBE.

Computed properties:
- energy of formation (meV/atom) = 1330
- magnetization (μB per cell) = 4.3

CIF file:
```
data_Co2GeRuPt
_chemical_formula_sum 'Co2 Ge1 Ru1 Pt1'
_cell_length_a 4.483
_cell_length_b 4.483
_cell_length_c 4.859
_cell_angle_alpha 90.00
_cell_angle_beta 90.00
_cell_angle_gamma 90.00
_space_group_name_H-M_alt 'P 4/m m m'
_space_group_IT_number 123
_space_group_name_Hall '-P 4 2'
loop_
_atom_site_label
_atom_site_type_symbol
_atom_site_fract_x
_atom_site_fract_y
_atom_site_fract_z
Co1 Co 0.000 0.500 0.000
Ge1 Ge 0.000 0.000 0.500
Ru1 Ru 0.500 0.500 0.000
Pt1 Pt 0.500 0.500 0.500
```